The following is a DFT calculation (GGA-PBE) of a geometry-optimized Tc3Os4 structure.

Cell lengths 10.0868, 10.0868, 10.0868 Å; angles 161.47, 161.47, 26.33 degrees
Last column: magnetic moment on the atom in μB.
Fractional coordinates of all 7 atoms:
Tc (0.0000, 0.0000, 0.0000)  0.03
Tc (0.7124, 0.7124, 0.0000)  0.02
Tc (0.2876, 0.2876, 0.0000)  0.02
Os (0.8571, 0.8571, 0.0000)  0.19
Os (0.5718, 0.5718, 0.0000)  0.21
Os (0.4282, 0.4282, 0.0000)  0.21
Os (0.1429, 0.1429, 0.0000)  0.19

Output
Energy of formation from the pure elements: 0.53 eV/atom
Symmetry: No. 139
E above lowest polymorph: 12.5 kJ/mol of atoms

---

The following is a DFT calculation (GGA-PBE) of a geometry-optimized Tc3Os structure.

Cell lengths 3.8744, 3.8744, 3.8744 Å; angles 90.00, 90.00, 90.00 degrees
Fractional coordinates of all 4 atoms:
Os (0.0000, 0.0000, 0.0000)
Tc (0.0000, 0.5000, 0.5000)
Tc (0.5000, 0.0000, 0.5000)
Tc (0.5000, 0.5000, 0.0000)

Output
Energy of formation from the pure elements: 0.06 eV/atom
Symmetry: No. 221
E above lowest polymorph: 11.0 kJ/mol of atoms

---

The following is a DFT calculation (GGA-PBE) of a geometry-optimized TcOs5 structure.

Cell lengths 2.7535, 7.2853, 4.3591 Å; angles 90.00, 90.00, 79.11 degrees
Fractional coordinates of all 6 atoms:
Os (0.9995, 0.0011, 0.0000)
Os (0.6673, 0.6653, 0.0000)
Os (0.3332, 0.3336, 0.0000)
Os (0.5552, 0.8895, 0.5000)
Os (0.2219, 0.5563, 0.5000)
Tc (0.8896, 0.2208, 0.5000)

Output
Energy of formation from the pure elements: -0.03 eV/atom
Symmetry: No. 38
E above lowest polymorph: 1.8 kJ/mol of atoms

---

The following is a DFT calculation (GGA-PBE) of a geometry-optimized TcOs5 structure.

Cell lengths 4.7790, 4.7790, 4.3400 Å; angles 90.00, 90.00, 120.00 degrees
Fractional coordinates of all 6 atoms:
Os (0.9995, 0.0000, 0.0000)
Os (0.6671, 0.3338, 0.0000)
Os (0.3333, 0.6662, 0.0000)
Os (0.0000, 0.3333, 0.5000)
Os (0.6667, 0.6667, 0.5000)
Tc (0.3333, 0.0000, 0.5000)

Output
Energy of formation from the pure elements: -0.05 eV/atom
Symmetry: No. 189
E above lowest polymorph: 0.0 kJ/mol of atoms